Entry 1:
A geometry-optimized TaBeTc2 structure. Source: the Alexandria database, functional PBEsol.

Cell lengths 2.690, 4.887, 5.014 Å; angles 117.41, 102.67, 95.76 degrees
Atoms (fractional coordinates):
Be (0.500, 0.000, 0.000)
Tc (0.500, 0.500, 0.500)
Tc (0.000, 0.000, 0.500)
Ta (0.000, 0.500, 0.000)

## Properties
* total magnetization: 0.0 μB per cell

---

Entry 2:
A geometry-optimized TaBeTc4 structure. Source: the Alexandria database, functional PBEsol.

Cell lengths 5.016, 5.016, 5.016 Å; angles 60.00, 60.00, 60.00 degrees
Atoms (fractional coordinates):
Ta (0.000, 0.000, 0.000)
Tc (0.873, 0.376, 0.376)
Be (0.750, 0.750, 0.750)
Tc (0.376, 0.376, 0.376)
Tc (0.376, 0.873, 0.376)
Tc (0.376, 0.376, 0.873)

## Properties
* total magnetization: 0.0 μB per cell

---

Entry 3:
A geometry-optimized Ta2BeTc structure. Source: the Alexandria database, functional PBEsol.

Cell lengths 4.131, 4.533, 4.131 Å; angles 62.89, 90.00, 117.11 degrees
Atoms (fractional coordinates):
Ta (0.750, 0.500, 0.750)
Be (0.500, 0.000, 0.500)
Tc (0.000, 0.000, 0.000)
Ta (0.250, 0.500, 0.250)

## Properties
* total magnetization: 0.0 μB per cell

---

Entry 4:
A geometry-optimized Ta2BeTc structure. Source: the Alexandria database, functional PBEsol.

Cell lengths 3.158, 3.158, 5.869 Å; angles 90.00, 90.00, 90.00 degrees
Atoms (fractional coordinates):
Ta (0.000, 0.000, 0.968)
Tc (0.000, 0.000, 0.538)
Ta (0.500, 0.500, 0.269)
Be (0.500, 0.500, 0.725)

## Properties
* total magnetization: 0.0 μB per cell

---

We obtain calculated formation energy values of 0.047 0.220 -0.004 -0.130 eV/atom for the records listed above, in that order.